(1)
# Sm3BiPt GGA-PBE relaxed
data_Sm3BiPt
_symmetry_space_group_name_H-M 'A m a 2'
_symmetry_Int_Tables_number 40
_cell_length_a 5.5638
_cell_length_b 21.8552
_cell_length_c 5.5823
_cell_angle_alpha 90.00
_cell_angle_beta 90.00
_cell_angle_gamma 90.00
loop_
_symmetry_equiv_pos_as_xyz
'x,y,z'
'-x,-y,z'
'-x+1/2,y,z'
'x+1/2,-y,z'
'x,y+1/2,z+1/2'
'-x,-y+1/2,z+1/2'
'-x+1/2,y+1/2,z+1/2'
'x+1/2,-y+1/2,z+1/2'
loop_
_atom_site_label
_atom_site_fract_x
_atom_site_fract_y
_atom_site_fract_z
Sm1 0.2500 0.0706 0.0000
Sm2 0.2500 0.1936 0.4397
Sm3 0.2500 0.4292 0.0128
Bi1 0.2500 0.3375 0.5272
Pt1 0.2500 0.0633 0.5008
# DFT formation energy: -0.63 eV/atom
# Volume: 678.8 Å³/cell
# Size of the total moment: 0.00 μB per cell

---

(2)
# Sm2BiPt2 GGA-PBE relaxed
data_Sm2BiPt2
_symmetry_space_group_name_H-M 'P 4/m b m'
_symmetry_Int_Tables_number 127
_symmetry_space_group_name_Hall '-P 4 2ab'
_cell_length_a 8.1545
_cell_length_b 8.1545
_cell_length_c 3.6334
_cell_angle_alpha 90.00
_cell_angle_beta 90.00
_cell_angle_gamma 90.00
loop_
_atom_site_label
_atom_site_fract_x
_atom_site_fract_y
_atom_site_fract_z
Sm1 0.1681 0.3319 0.0000
Bi1 0.0000 0.0000 0.5000
Pt1 0.1251 0.6251 0.5000
# DFT formation energy: -1.05 eV/atom
# Volume: 241.6 Å³/cell
# Size of the total moment: 0.00 μB per cell

---

(3)
# Sm4BiPt GGA-PBE relaxed
data_Sm4BiPt
_symmetry_space_group_name_H-M 'C 1 2/c 1'
_symmetry_Int_Tables_number 15
_cell_length_a 9.0376
_cell_length_b 14.1367
_cell_length_c 6.0044
_cell_angle_alpha 90.00
_cell_angle_beta 112.44
_cell_angle_gamma 90.00
loop_
_symmetry_equiv_pos_as_xyz
'x,y,z'
'-x,-y,-z'
'-x,y,-z+1/2'
'x,-y,z+1/2'
'x+1/2,y+1/2,z'
'-x+1/2,-y+1/2,-z'
'-x+1/2,y+1/2,-z+1/2'
'x+1/2,-y+1/2,z+1/2'
loop_
_atom_site_label
_atom_site_fract_x
_atom_site_fract_y
_atom_site_fract_z
Sm1 0.1114 0.1830 0.0693
Sm2 0.2194 0.4237 0.3443
Bi1 0.0000 0.3795 0.7500
Pt1 0.0000 0.0017 0.2500
# DFT formation energy: -0.64 eV/atom
# Volume: 709.0 Å³/cell
# Size of the total moment: 0.00 μB per cell

---

(4)
# SmBi2Pt GGA-PBE relaxed
data_SmBi2Pt
_symmetry_space_group_name_H-M 'R -3 m'
_symmetry_Int_Tables_number 166
_symmetry_space_group_name_Hall '-R 3 2"'
_cell_length_a 3.7257
_cell_length_b 3.7257
_cell_length_c 30.2363
_cell_angle_alpha 90.00
_cell_angle_beta 90.00
_cell_angle_gamma 120.00
loop_
_atom_site_label
_atom_site_fract_x
_atom_site_fract_y
_atom_site_fract_z
Sm1 0.0000 0.0000 0.0000
Bi1 0.0000 0.0000 0.1069
Pt1 0.0000 0.0000 0.5000
# DFT formation energy: -0.07 eV/atom
# Volume: 363.5 Å³/cell
# Size of the total moment: 0.00 μB per cell

---

(5)
# Sm5BiPt2 GGA-PBE relaxed
data_Sm5BiPt2
_symmetry_space_group_name_H-M 'I 4/m c m'
_symmetry_Int_Tables_number 140
_symmetry_space_group_name_Hall '-I 4 2c'
_cell_length_a 8.0084
_cell_length_b 8.0084
_cell_length_c 13.9703
_cell_angle_alpha 90.00
_cell_angle_beta 90.00
_cell_angle_gamma 90.00
loop_
_atom_site_label
_atom_site_fract_x
_atom_site_fract_y
_atom_site_fract_z
Sm1 0.0000 0.0000 0.0000
Sm2 0.1564 0.3436 0.1364
Bi1 0.0000 0.0000 0.2500
Pt1 0.1380 0.3620 0.5000
# DFT formation energy: -0.87 eV/atom
# Volume: 896.0 Å³/cell
# Size of the total moment: 0.00 μB per cell

---

(6)
# SmBiPt4 GGA-PBE relaxed
data_SmBiPt4
_symmetry_space_group_name_H-M 'F -4 3 m'
_symmetry_Int_Tables_number 216
_symmetry_space_group_name_Hall 'F -4 2 3'
_cell_length_a 7.7622
_cell_length_b 7.7622
_cell_length_c 7.7622
_cell_angle_alpha 90.00
_cell_angle_beta 90.00
_cell_angle_gamma 90.00
loop_
_atom_site_label
_atom_site_fract_x
_atom_site_fract_y
_atom_site_fract_z
Sm1 0.0000 0.0000 0.0000
Bi1 0.2500 0.2500 0.7500
Pt1 0.1253 0.1253 0.3747
# DFT formation energy: -0.67 eV/atom
# Volume: 467.7 Å³/cell
# Size of the total moment: 0.00 μB per cell

---

(7)
# SmBiPt10 GGA-PBE relaxed
data_SmBiPt10
_symmetry_space_group_name_H-M 'P m m m'
_symmetry_Int_Tables_number 47
_cell_length_a 4.4792
_cell_length_b 5.4027
_cell_length_c 9.2860
_cell_angle_alpha 90.00
_cell_angle_beta 90.00
_cell_angle_gamma 90.00
loop_
_symmetry_equiv_pos_as_xyz
'x,y,z'
'-x,-y,-z'
'-x,-y,z'
'x,y,-z'
'x,-y,-z'
'-x,y,z'
'-x,y,-z'
'x,-y,z'
loop_
_atom_site_label
_atom_site_fract_x
_atom_site_fract_y
_atom_site_fract_z
Sm1 0.0000 0.0000 0.0000
Bi1 0.0000 0.5000 0.5000
Pt1 0.0000 0.0000 0.3354
Pt2 0.0000 0.5000 0.1694
Pt3 0.5000 0.0000 0.5000
Pt4 0.5000 0.2470 0.2462
Pt5 0.5000 0.5000 0.0000
# DFT formation energy: -0.37 eV/atom
# Volume: 224.7 Å³/cell
# Size of the total moment: 0.00 μB per cell

---

(8)
# Sm12BiPt6 GGA-PBE relaxed
data_Sm12BiPt6
_symmetry_space_group_name_H-M 'I m -3'
_symmetry_Int_Tables_number 204
_symmetry_space_group_name_Hall '-I 2 2 3'
_cell_length_a 10.2766
_cell_length_b 10.2766
_cell_length_c 10.2766
_cell_angle_alpha 90.00
_cell_angle_beta 90.00
_cell_angle_gamma 90.00
loop_
_atom_site_label
_atom_site_fract_x
_atom_site_fract_y
_atom_site_fract_z
Sm1 0.0000 0.3052 0.1812
Bi1 0.0000 0.0000 0.0000
Pt1 0.0000 0.1359 0.5000
# DFT formation energy: -0.83 eV/atom
# Volume: 1085.3 Å³/cell
# Size of the total moment: 0.00 μB per cell

---

(9)
# Sm12Bi6Pt GGA-PBE relaxed
data_Sm12Bi6Pt
_symmetry_space_group_name_H-M 'R -3'
_symmetry_Int_Tables_number 148
_symmetry_space_group_name_Hall '-R 3'
_cell_length_a 13.5919
_cell_length_b 13.5919
_cell_length_c 12.5296
_cell_angle_alpha 90.00
_cell_angle_beta 90.00
_cell_angle_gamma 120.00
loop_
_atom_site_label
_atom_site_fract_x
_atom_site_fract_y
_atom_site_fract_z
Sm1 0.0279 0.1884 0.3865
Sm2 0.0623 0.1955 0.8799
Bi1 0.0437 0.2840 0.6397
Pt1 0.0000 0.0000 0.0000
# DFT formation energy: -0.56 eV/atom
# Volume: 2004.6 Å³/cell
# Size of the total moment: 0.00 μB per cell

---

(10)
# Sm4Bi2Pt GGA-PBE relaxed
data_Sm4Bi2Pt
_symmetry_space_group_name_H-M 'P 1 21/m 1'
_symmetry_Int_Tables_number 11
_cell_length_a 7.1820
_cell_length_b 6.6124
_cell_length_c 9.6528
_cell_angle_alpha 90.00
_cell_angle_beta 108.86
_cell_angle_gamma 90.00
loop_
_symmetry_equiv_pos_as_xyz
'x,y,z'
'-x,-y,-z'
'-x,y+1/2,-z'
'x,-y+1/2,z'
loop_
_atom_site_label
_atom_site_fract_x
_atom_site_fract_y
_atom_site_fract_z
Sm1 0.0086 0.0043 0.2647
Sm2 0.3965 0.7500 0.0689
Sm3 0.4435 0.7500 0.6359
Bi1 0.2168 0.2500 0.0448
Bi2 0.2399 0.2500 0.5676
Pt1 0.3421 0.7500 0.3341
# DFT formation energy: -0.68 eV/atom
# Volume: 433.8 Å³/cell
# Size of the total moment: 0.00 μB per cell

---

(11)
# SmBiPt GGA-PBE relaxed
data_SmBiPt
_symmetry_space_group_name_H-M 'P 3 m 1'
_symmetry_Int_Tables_number 156
_cell_length_a 4.6280
_cell_length_b 4.6280
_cell_length_c 4.1908
_cell_angle_alpha 90.00
_cell_angle_beta 90.00
_cell_angle_gamma 120.00
loop_
_symmetry_equiv_pos_as_xyz
'x,y,z'
'-y,x-y,z'
'-x+y,-x,z'
'-y,-x,z'
'-x+y,y,z'
'x,x-y,z'
loop_
_atom_site_label
_atom_site_fract_x
_atom_site_fract_y
_atom_site_fract_z
Sm1 0.0000 0.0000 0.0000
Bi1 0.3333 0.6667 0.4807
Pt1 0.6667 0.3333 0.6307
# DFT formation energy: -0.81 eV/atom
# Volume: 77.7 Å³/cell
# Size of the total moment: 0.00 μB per cell

---

(12)
# Sm5Bi2Pt GGA-PBE relaxed
data_Sm5Bi2Pt
_symmetry_space_group_name_H-M 'C m c m'
_symmetry_Int_Tables_number 63
_symmetry_space_group_name_Hall '-C 2c 2'
_cell_length_a 5.7307
_cell_length_b 15.9726
_cell_length_c 13.8713
_cell_angle_alpha 90.00
_cell_angle_beta 90.00
_cell_angle_gamma 90.00
loop_
_atom_site_label
_atom_site_fract_x
_atom_site_fract_y
_atom_site_fract_z
Sm1 0.0000 0.0792 0.1151
Sm2 0.0000 0.2823 0.7500
Sm3 0.0000 0.3006 0.0586
Bi1 0.0000 0.1225 0.6031
Pt1 0.0000 0.2108 0.2500
# DFT formation energy: -0.37 eV/atom
# Volume: 1269.7 Å³/cell
# Size of the total moment: 2.84 μB per cell

---

(13)
# Sm6Bi2Pt GGA-PBE relaxed
data_Sm6Bi2Pt
_symmetry_space_group_name_H-M 'P 1 21/c 1'
_symmetry_Int_Tables_number 14
_cell_length_a 6.5435
_cell_length_b 8.2629
_cell_length_c 12.2208
_cell_angle_alpha 90.00
_cell_angle_beta 120.53
_cell_angle_gamma 90.00
loop_
_symmetry_equiv_pos_as_xyz
'x,y,z'
'-x,-y,-z'
'-x,y+1/2,-z+1/2'
'x,-y+1/2,z+1/2'
loop_
_atom_site_label
_atom_site_fract_x
_atom_site_fract_y
_atom_site_fract_z
Sm1 0.0907 0.1895 0.4576
Sm2 0.3208 0.6745 0.4583
Sm3 0.3735 0.0258 0.2443
Bi1 0.1514 0.1132 0.7473
Pt1 0.5000 0.0000 0.5000
# DFT formation energy: -0.63 eV/atom
# Volume: 569.1 Å³/cell
# Size of the total moment: 0.00 μB per cell

---

(14)
# Sm8Bi2Pt3 GGA-PBE relaxed
data_Sm8Bi2Pt3
_symmetry_space_group_name_H-M 'C 1 2/m 1'
_symmetry_Int_Tables_number 12
_cell_length_a 16.2747
_cell_length_b 8.2643
_cell_length_c 7.0852
_cell_angle_alpha 90.00
_cell_angle_beta 106.09
_cell_angle_gamma 90.00
loop_
_symmetry_equiv_pos_as_xyz
'x,y,z'
'-x,-y,-z'
'-x,y,-z'
'x,-y,z'
'x+1/2,y+1/2,z'
'-x+1/2,-y+1/2,-z'
'-x+1/2,y+1/2,-z'
'x+1/2,-y+1/2,z'
loop_
_atom_site_label
_atom_site_fract_x
_atom_site_fract_y
_atom_site_fract_z
Sm1 0.0903 0.0000 0.3696
Sm2 0.0978 0.5000 0.4027
Sm3 0.1047 0.2525 0.9001
Bi1 0.2466 0.0000 0.1670
Pt1 0.0000 0.2459 0.5000
Pt2 0.0000 0.5000 0.0000
# DFT formation energy: -0.70 eV/atom
# Volume: 915.6 Å³/cell
# Size of the total moment: 0.00 μB per cell

---

(15)
# Sm5Bi4Pt GGA-PBE relaxed
data_Sm5Bi4Pt
_symmetry_space_group_name_H-M 'I 4'
_symmetry_Int_Tables_number 79
_cell_length_a 10.0224
_cell_length_b 10.0224
_cell_length_c 6.3899
_cell_angle_alpha 90.00
_cell_angle_beta 90.00
_cell_angle_gamma 90.00
loop_
_symmetry_equiv_pos_as_xyz
'x,y,z'
'-y,x,z'
'-x,-y,z'
'y,-x,z'
'x+1/2,y+1/2,z+1/2'
'-y+1/2,x+1/2,z+1/2'
'-x+1/2,-y+1/2,z+1/2'
'y+1/2,-x+1/2,z+1/2'
loop_
_atom_site_label
_atom_site_fract_x
_atom_site_fract_y
_atom_site_fract_z
Sm1 0.0000 0.0000 0.0000
Sm2 0.0993 0.2855 0.5643
Bi1 0.0929 0.3023 0.0650
Pt1 0.0000 0.0000 0.5504
# DFT formation energy: -0.85 eV/atom
# Volume: 641.9 Å³/cell
# Size of the total moment: 0.00 μB per cell

---

(16)
# Sn3BiPt12 GGA-PBE relaxed
data_Sn3BiPt12
_symmetry_space_group_name_H-M 'P 4/m m m'
_symmetry_Int_Tables_number 123
_symmetry_space_group_name_Hall '-P 4 2'
_cell_length_a 4.0923
_cell_length_b 4.0923
_cell_length_c 16.3212
_cell_angle_alpha 90.00
_cell_angle_beta 90.00
_cell_angle_gamma 90.00
loop_
_atom_site_label
_atom_site_fract_x
_atom_site_fract_y
_atom_site_fract_z
Sn1 0.0000 0.0000 0.0000
Sn2 0.0000 0.0000 0.2455
Bi1 0.0000 0.0000 0.5000
Pt1 0.0000 0.5000 0.1234
Pt2 0.0000 0.5000 0.3677
Pt3 0.5000 0.5000 0.0000
Pt4 0.5000 0.5000 0.2467
Pt5 0.5000 0.5000 0.5000
# DFT formation energy: -0.29 eV/atom
# Volume: 273.3 Å³/cell
# Size of the total moment: 0.00 μB per cell

---

(17)
# SnBi2Pt GGA-PBE relaxed
data_SnBi2Pt
_symmetry_space_group_name_H-M 'I -4 2 d'
_symmetry_Int_Tables_number 122
_symmetry_space_group_name_Hall 'I -4 2bw'
_cell_length_a 6.5275
_cell_length_b 6.5275
_cell_length_c 13.3317
_cell_angle_alpha 90.00
_cell_angle_beta 90.00
_cell_angle_gamma 90.00
loop_
_atom_site_label
_atom_site_fract_x
_atom_site_fract_y
_atom_site_fract_z
Sn1 0.0000 0.0000 0.0000
Bi1 0.2051 0.2500 0.6250
Pt1 0.0000 0.0000 0.5000
# DFT formation energy: 0.06 eV/atom
# Volume: 568.0 Å³/cell
# Size of the total moment: 0.00 μB per cell

---

(18)
# Sn4Bi2Pt GGA-PBE relaxed
data_Sn4Bi2Pt
_symmetry_space_group_name_H-M 'I 4/m m m'
_symmetry_Int_Tables_number 139
_symmetry_space_group_name_Hall '-I 4 2'
_cell_length_a 5.1673
_cell_length_b 5.1673
_cell_length_c 16.4445
_cell_angle_alpha 90.00
_cell_angle_beta 90.00
_cell_angle_gamma 90.00
loop_
_atom_site_label
_atom_site_fract_x
_atom_site_fract_y
_atom_site_fract_z
Sn1 0.0000 0.0000 0.1689
Sn2 0.0000 0.5000 0.0000
Bi1 0.0000 0.0000 0.3593
Pt1 0.0000 0.0000 0.0000
# DFT formation energy: 0.06 eV/atom
# Volume: 439.1 Å³/cell
# Size of the total moment: 0.00 μB per cell

---

(19)
# Sn2BiPt2 GGA-PBE relaxed
data_Sn2BiPt2
_symmetry_space_group_name_H-M 'P 4/m b m'
_symmetry_Int_Tables_number 127
_symmetry_space_group_name_Hall '-P 4 2ab'
_cell_length_a 7.9598
_cell_length_b 7.9598
_cell_length_c 3.4359
_cell_angle_alpha 90.00
_cell_angle_beta 90.00
_cell_angle_gamma 90.00
loop_
_atom_site_label
_atom_site_fract_x
_atom_site_fract_y
_atom_site_fract_z
Sn1 0.1562 0.3438 0.0000
Bi1 0.0000 0.0000 0.5000
Pt1 0.1340 0.6340 0.5000
# DFT formation energy: -0.24 eV/atom
# Volume: 217.7 Å³/cell
# Energy above the lowest structure with this stoichiometry: 0.00 eV per formula unit
# Size of the total moment: 0.00 μB per cell

---

(20)
# Sn3BiPt GGA-PBE relaxed
data_Sn3BiPt
_symmetry_space_group_name_H-M 'P m -3 m'
_symmetry_Int_Tables_number 221
_symmetry_space_group_name_Hall '-P 4 2 3'
_cell_length_a 5.2809
_cell_length_b 5.2809
_cell_length_c 5.2809
_cell_angle_alpha 90.00
_cell_angle_beta 90.00
_cell_angle_gamma 90.00
loop_
_atom_site_label
_atom_site_fract_x
_atom_site_fract_y
_atom_site_fract_z
Sn1 0.0000 0.0000 0.5000
Bi1 0.5000 0.5000 0.5000
Pt1 0.0000 0.0000 0.0000
# DFT formation energy: 0.00 eV/atom
# Volume: 147.3 Å³/cell
# Size of the total moment: 0.00 μB per cell